(1)
V2HgS: relaxed, PBE.

Cell: 6.258 6.258 6.258 Å, 90.00 90.00 90.00°
Space group Fm-3m (No. 225)
One atom of each set of equivalent atoms:
V: 0.250 0.250 0.250 (multiplicity 8)
Hg: 0.000 0.000 0.000 (multiplicity 4)
S: 0.000 0.000 0.500 (multiplicity 4)

- E_form (uncorrected) (eV/atom) = 0.360
- theoretical density (g cm⁻³) = 9.065
- total DFT energy (no corrections) (eV per atom) = -5.307

***

(2)
VHgS: relaxed, PBE.

Cell: 3.3169 3.3169 18.4399 Å, 90.00 90.00 120.00°
Space group R3m (No. 160, hexagonal axes)
One atom of each set of equivalent atoms:
V: 0.0000 0.0000 0.0000 (multiplicity 3)
Hg: 0.0000 0.0000 0.5501 (multiplicity 3)
S: 0.0000 0.0000 0.4034 (multiplicity 3)

- offset from the most stable computed form (meV per atom) = 88
- E_form (uncorrected) (eV/atom) = -0.349
- theoretical density (g cm⁻³) = 8.041
- total DFT energy (no corrections) (eV per atom) = -4.865